KRe2Bi2 | PBE-GGA | relaxed

ΔH_f (0 K) = 0.454 eV/atom
polymorph energy (0 for the lowest one) = 0 meV/atom

Cell lengths 3.8920, 3.8920, 17.9115 Å; angles 90.00, 90.00, 90.00 degrees
With the nearest neighbours (Å) after each atom.
Space group I4/mmm (No. 139)
One atom of each set of equivalent atoms:
K1 0.0000 0.0000 0.0000  8 Bi 3.66, 4 K 3.89
Re1 0.0000 0.5000 0.2500  4 Re 2.75, 4 Bi 2.83
Bi1 0.0000 0.0000 0.3649  4 Re 2.83

=====

KRe2Bi2 | PBE-GGA | relaxed

ΔH_f (0 K) = 0.903 eV/atom
polymorph energy (0 for the lowest one) = 449 meV/atom

Cell lengths 9.0546, 9.0546, 3.2219 Å; angles 90.00, 90.00, 90.00 degrees
With the nearest neighbours (Å) after each atom.
Space group P4/mbm (No. 127)
One atom of each set of equivalent atoms:
K1 0.0000 0.0000 0.0000  2 K 3.22, 4 Bi 3.34
Re1 0.0882 0.4118 0.5000  1 Re 2.26
Bi1 0.1765 0.6765 0.0000  4 Re 3.00, 2 Bi 3.22, 2 K 3.34

=====

KReBi2 | PBE-GGA | relaxed

ΔH_f (0 K) = 0.660 eV/atom
polymorph energy (0 for the lowest one) = 0 meV/atom

Cell lengths 7.4545, 7.4545, 12.9825 Å; angles 90.00, 90.00, 90.00 degrees
With the nearest neighbours (Å) after each atom.
Space group I-42d (No. 122)
One atom of each set of equivalent atoms:
K1 0.0000 0.0000 0.0000  4 Bi 3.81
Re1 0.0000 0.0000 0.5000  4 Bi 2.61
Bi1 0.1118 0.2500 0.6250  2 Re 2.61

=====

K2TaReBi | PBE-GGA | relaxed

ΔH_f (0 K) = 1.611 eV/atom

Cell lengths 6.5579, 6.5579, 4.5892 Å; angles 90.00, 90.00, 90.00 degrees
With the nearest neighbours (Å) after each atom.
Space group P4/mmm (No. 123)
One atom of each set of equivalent atoms:
K1 0.0000 0.5000 0.0000  2 Ta 3.28
Ta1 0.0000 0.0000 0.0000  2 Re 2.29
Re1 0.0000 0.0000 0.5000  2 Ta 2.29
Bi1 0.5000 0.5000 0.5000  8 K 4.00

=====

K2BiRh2 | PBE-GGA | relaxed

ΔH_f (0 K) = 0.865 eV/atom
polymorph energy (0 for the lowest one) = 633 meV/atom

Cell lengths 9.2329, 9.2329, 2.9837 Å; angles 90.00, 90.00, 90.00 degrees
With the nearest neighbours (Å) after each atom.
Space group P4/mbm (No. 127)
One atom of each set of equivalent atoms:
K1 0.1170 0.3830 0.0000  6 Rh 2.96-3.24, 3 K 2.98-3.05
Bi1 0.0000 0.0000 0.0000  2 Bi 2.98
Rh1 0.1870 0.6870 0.5000  6 K 2.96-3.24, 2 Rh 2.98

=====

K2Bi4Rh3 | PBE-GGA | relaxed

ΔH_f (0 K) = -0.178 eV/atom

Cell lengths 6.1965, 10.9305, 14.4138 Å; angles 90.00, 90.00, 90.00 degrees
With the nearest neighbours (Å) after each atom.
Space group Fmmm (No. 69)
One atom of each set of equivalent atoms:
K1 0.0000 0.0000 0.1192  1 K 3.44, 6 Rh 3.54-3.58, 6 Bi 3.61-3.65
Bi1 0.0000 0.1673 0.3573  3 Rh 2.73-2.75
Rh1 0.0000 0.0000 0.5000  4 Bi 2.75
Rh2 0.2500 0.2500 0.0000  4 Bi 2.73

=====

K3BiRh | PBE-GGA | relaxed

ΔH_f (0 K) = 0.542 eV/atom
polymorph energy (0 for the lowest one) = 0 meV/atom

Cell lengths 5.7961, 5.7961, 5.7961 Å; angles 90.00, 90.00, 90.00 degrees
With the nearest neighbours (Å) after each atom.
Space group Pm-3m (No. 221)
One atom of each set of equivalent atoms:
K1 0.0000 0.0000 0.5000  2 Rh 2.90
Bi1 0.5000 0.5000 0.5000  12 K 4.10
Rh1 0.0000 0.0000 0.0000  6 K 2.90

=====

KBiRh | PBE-GGA | relaxed

ΔH_f (0 K) = -0.205 eV/atom

Cell lengths 4.8057, 4.8057, 7.7141 Å; angles 90.00, 90.00, 90.00 degrees
With the nearest neighbours (Å) after each atom.
Space group P4/nmm (No. 129, origin choice 2)
One atom of each set of equivalent atoms:
K1 0.2500 0.2500 0.1703  4 Rh 3.50, 6 Bi 3.62-3.87
Bi1 0.2500 0.2500 0.6690  4 Rh 2.73
Rh1 0.2500 0.7500 0.5000  4 Bi 2.73